[1]
{
  "formula": "SrH2F",
  "functional": "PBE",
  "state": "optimized geometry",
  "cell": [[0.0000, 2.8963, 2.8963], [2.8963, 0.0000, 2.8963], [2.8963, 2.8963, 0.0000]],
  "species": ["Sr", "H", "H", "F"],
  "fractional_positions": [[0.0000, 0.0000, 0.0000], [0.2500, 0.2500, 0.2500], [0.7500, 0.7500, 0.7500], [0.5000, 0.5000, 0.5000]],
  "dft_energy_ev_per_atom": -3.46
}


[2]
{
  "formula": "ThAl2AgAu4",
  "functional": "PBE",
  "state": "optimized geometry",
  "cell": [[2.2312, 1.2882, 9.2332], [-2.2312, 1.2882, 9.2332], [0.0000, -2.5763, 9.2332]],
  "species": ["Th", "Al", "Al", "Ag", "Au", "Au", "Au", "Au"],
  "fractional_positions": [[0.0000, 0.0000, 0.0000], [0.2343, 0.2343, 0.2343], [0.7657, 0.7657, 0.7657], [0.5000, 0.5000, 0.5000], [0.1228, 0.1228, 0.1228], [0.3934, 0.3934, 0.3934], [0.6066, 0.6066, 0.6066], [0.8772, 0.8772, 0.8772]],
  "dft_energy_ev_per_atom": -4.30,
  "e_form_ev_per_atom": -0.439
}


[3]
{
  "formula": "MgSc3Ti",
  "functional": "PBE",
  "state": "optimized geometry",
  "cell": [[5.0731, 0.0000, 0.0000], [0.0000, 5.0731, 0.0000], [0.0000, 0.0000, 5.0731]],
  "species": ["Mg", "Sc", "Sc", "Sc", "Ti"],
  "fractional_positions": [[0.0000, 0.0000, 0.0000], [0.0000, 0.5000, 0.5000], [0.5000, 0.0000, 0.5000], [0.5000, 0.5000, 0.0000], [0.5000, 0.5000, 0.5000]],
  "dft_energy_ev_per_atom": -5.15,
  "e_form_ev_per_atom": 0.550
}


[4]
{
  "formula": "MnSi4Sb",
  "functional": "PBE",
  "state": "optimized geometry",
  "cell": [[0.0000, 3.6836, 3.6836], [3.6836, 0.0000, 3.6836], [3.6836, 3.6836, 0.0000]],
  "species": ["Mn", "Si", "Si", "Si", "Si", "Sb"],
  "fractional_positions": [[0.0000, 0.0000, 0.0000], [0.3740, 0.3740, 0.3740], [0.3740, 0.3740, 0.8780], [0.3740, 0.8780, 0.3740], [0.8780, 0.3740, 0.3740], [0.7500, 0.7500, 0.7500]],
  "dft_energy_ev_per_atom": -5.30,
  "e_form_raw_ev_per_atom": 0.530
}


[5]
{
  "formula": "TcRu2Br",
  "functional": "PBE",
  "state": "optimized geometry",
  "cell": [[1.4328, 0.8272, 8.7112], [-1.4328, 0.8272, 8.7112], [0.0000, -1.6545, 8.7112]],
  "species": ["Tc", "Ru", "Ru", "Br"],
  "fractional_positions": [[0.0000, 0.0000, 0.0000], [0.2533, 0.2533, 0.2533], [0.7467, 0.7467, 0.7467], [0.5000, 0.5000, 0.5000]],
  "dft_energy_ev_per_atom": -7.11,
  "e_form_raw_ev_per_atom": 0.540
}


[6]
{
  "formula": "Li7ZnGa3",
  "functional": "PBE",
  "state": "optimized geometry",
  "cell": [[1.3451, -10.7678, 0.0000], [1.3451, 10.7678, 0.0000], [0.0000, 0.0000, 13.1021]],
  "species": ["Li", "Li", "Li", "Li", "Li", "Li", "Li", "Li", "Li", "Li", "Li", "Li", "Li", "Li", "Zn", "Zn", "Ga", "Ga", "Ga", "Ga", "Ga", "Ga"],
  "fractional_positions": [[0.0521, 0.9479, 0.6363], [0.0521, 0.9479, 0.8637], [0.0901, 0.9099, 0.0848], [0.0901, 0.9099, 0.4152], [0.1886, 0.8114, 0.7500], [0.2204, 0.7796, 0.0921], [0.2204, 0.7796, 0.4079], [0.7796, 0.2204, 0.5921], [0.7796, 0.2204, 0.9079], [0.8114, 0.1886, 0.2500], [0.9099, 0.0901, 0.5848], [0.9099, 0.0901, 0.9152], [0.9479, 0.0521, 0.1363], [0.9479, 0.0521, 0.3637], [0.4642, 0.5358, 0.7500], [0.5358, 0.4642, 0.2500], [0.3423, 0.6577, 0.7500], [0.3444, 0.6556, 0.0683], [0.3444, 0.6556, 0.4317], [0.6556, 0.3444, 0.5683], [0.6556, 0.3444, 0.9317], [0.6577, 0.3423, 0.2500]],
  "dft_energy_ev_per_atom": -2.34,
  "e_form_ev_per_atom": -0.178
}


Respective magnetization values: 1.0, 0.0, 0.0, 3.5, 0.0, 0.0 μB per formula unit.
Respective density of states at the Fermi level values: 0.593, 0.577, 1.661, 0.767, 0.938, 0.443 states/eV/atom.